The following is a DFT calculation (PBE-GGA) of a relaxed structure of LiPaNi4H8.

a b c (Å): 5.0210 5.0210 16.7941
angles (deg): 90.00 90.00 120.00
With the nearest neighbours (Å) after each atom.
Space group R3m (No. 160, hexagonal axes)
One atom of each set of equivalent atoms:
Li: 0.0000 0.0000 0.0000 (multiplicity 3)  3 H 1.72
Pa: 0.0000 0.0000 0.5391 (multiplicity 3)  6 H 2.19-2.32
Ni: 0.0000 0.0000 0.1588 (multiplicity 3)  3 H 1.72
Ni: 0.1681 0.3362 0.3833 (multiplicity 9)  6 H 1.70-1.76
H: 0.0000 0.0000 0.3298 (multiplicity 3)  3 Ni 1.72
H: 0.0000 0.0000 0.7730 (multiplicity 3)  3 Ni 1.72
H: 0.0094 0.5047 0.7667 (multiplicity 9)  3 Ni 1.70-1.72
H: 0.0558 0.5279 0.3150 (multiplicity 9)  1 Li 1.72, 2 Ni 1.76

- N(E_F) (states/eV/f.u.) = 7.4
- total energy (eV/cell) = -185.8